1.
TlIn3 | GGA-PBEsol | relaxed

The structure in POSCAR format:
```
TlIn3
1.0
3.329 0.000 0.000
-1.664 2.883 0.000
0.000 0.000 10.889
Tl In
1 3
Direct
0.000 0.000 0.000 Tl
0.000 0.000 0.500 In
0.667 0.333 0.257 In
0.667 0.333 0.743 In
```

Energy of formation from the pure elements in meV per atom: 11
Symmetry: P-6m2 (187)
Total magnetic moment in μB/f.u.: 0.00
Total DFT energy (no corrections) in eV per atom: -2.88


2.
Si2GeH | GGA-PBEsol | relaxed

The structure in POSCAR format:
```
Si2GeH
1.0
-2.063 2.063 6.744
2.063 -2.063 6.744
2.063 2.063 -6.744
Si Ge H
4 2 2
Direct
0.022 0.625 0.897 Si
0.375 0.272 0.397 Si
0.728 0.125 0.103 Si
0.875 0.978 0.603 Si
0.250 0.750 0.500 Ge
0.500 0.500 0.000 Ge
0.000 0.000 0.000 H
0.750 0.250 0.500 H
```

Energy relative to the lowest polymorph listed for this composition in meV/atom: 0
Symmetry: I-42d (122)
Total magnetic moment in μB/f.u.: 0.00
Total DFT energy (no corrections) in eV per atom: -4.51


3.
CaCu2Se | GGA-PBEsol | relaxed

The structure in POSCAR format:
```
CaCu2Se
1.0
3.778 0.000 0.000
0.000 4.223 0.000
-0.011 0.000 4.830
Ca Cu Se
1 2 1
Direct
0.000 0.000 0.000 Ca
0.499 0.500 0.758 Cu
0.501 0.500 0.242 Cu
0.500 0.000 0.500 Se
```

Symmetry: P2/m (10)
Total magnetic moment in μB/f.u.: 0.00
Formation energy without anion corrections in eV per atom: -0.456
Total DFT energy (no corrections) in eV per atom: -4.12